Version one
# Tc5P

A relaxed Tc5P crystal (GGA-PBE, Alexandria via LeMat-Bulk).

Results
theoretical density: 10.2 Mg/m³
SG: P-62m

abc: 4.714 4.714 4.390
angles: 90.00 90.00 120.00
Sites, in units of the cell vectors:
Tc: 0.677 0.000 0.000
Tc: 0.000 0.677 0.000
Tc: 0.333 0.667 0.500
Tc: 0.667 0.333 0.500
Tc: 0.323 0.323 0.000
P: 0.000 0.000 0.500

Version two
# Tc5P

A relaxed Tc5P crystal (GGA-PBE, Alexandria via LeMat-Bulk).

Results
theoretical density: 10.2 Mg/m³
SG: Cmmm

abc: 3.904 3.888 5.931
angles: 109.13 90.00 90.00
Sites, in units of the cell vectors:
Tc: 0.000 0.671 0.341
Tc: 0.500 0.835 0.670
Tc: 0.000 0.329 0.659
Tc: 0.500 0.165 0.330
Tc: 0.500 0.500 0.000
P: 0.000 0.000 0.000

Stability check: which of them is least stable? version two.